a:
A plane-wave DFT calculation with PBE was carried out for an optimized crystal structure of CrFeSb2.

a b c (Å): 3.125 3.125 7.881
angles (deg): 90.00 90.00 90.00
Space group P4mm (No. 99)
Symmetry-distinct sites (fractional):
1 Cr 0.000 0.000 0.000 x1
2 Fe 0.500 0.500 0.153 x1
3 Sb 0.000 0.000 0.359 x1
4 Sb 0.500 0.500 0.783 x1



b:
A plane-wave DFT calculation with PBE was carried out for an optimized crystal structure of CrFeSb2.

a b c (Å): 3.635 3.635 5.481
angles (deg): 90.00 90.00 90.00
Space group P4mm (No. 99)
Symmetry-distinct sites (fractional):
1 Cr 0.000 0.000 0.000 x1
2 Fe 0.500 0.500 0.326 x1
3 Sb 0.000 0.000 0.482 x1
4 Sb 0.500 0.500 0.846 x1



c:
A plane-wave DFT calculation with PBE was carried out for an optimized crystal structure of CrFeSb2.

a b c (Å): 3.261 3.261 7.041
angles (deg): 90.00 90.00 90.00
Space group P4/mmm (No. 123)
Symmetry-distinct sites (fractional):
1 Cr 0.000 0.000 0.000 x1
2 Fe 0.000 0.000 0.500 x1
3 Sb 0.500 0.500 0.268 x2



Energy ordering: a at the bottom, the next structure 5.1 kJ/mol of atoms above.